No. 1
DFT (GGA-PBE) results for a relaxed CaAgP crystal.

Lattice parameters (Å, degrees): 7.109 4.202 12.166 90.00 90.34 90.00
Atoms (fractional coordinates):
Ca1 0.032 0.250 0.122
Ca2 0.159 0.250 0.418
Ca3 0.466 0.750 0.791
Ca4 0.534 0.250 0.209
Ca5 0.841 0.750 0.582
Ca6 0.968 0.750 0.878
Ag1 0.134 0.250 0.707
Ag2 0.358 0.750 0.042
Ag3 0.495 0.750 0.411
Ag4 0.505 0.250 0.589
Ag5 0.642 0.250 0.958
Ag6 0.866 0.750 0.293
P1 0.240 0.750 0.250
P2 0.249 0.750 0.586
P3 0.253 0.250 0.919
P4 0.747 0.750 0.081
P5 0.751 0.250 0.414
P6 0.760 0.250 0.750

Results
* energy of formation: -747 meV per atom
* density of states at the Fermi level: 0.1 states/eV/f.u.
* crystal system: monoclinic
* M_tot: 0.000 μB per formula unit
* space-group type: No. 11


No. 2
DFT (GGA-PBE) results for a relaxed Pa2Ga2Co3 crystal.

Lattice parameters (Å, degrees): 6.090 6.090 4.984 91.37 91.37 40.19
Atoms (fractional coordinates):
Pa1 0.140 0.140 0.366
Pa2 0.860 0.860 0.634
Ga1 0.402 0.402 0.145
Ga2 0.598 0.598 0.855
Co1 0.000 0.000 0.000
Co2 0.213 0.213 0.819
Co3 0.787 0.787 0.181

Results
* energy of formation: -454 meV per atom
* density of states at the Fermi level: 5.8 states/eV/f.u.
* E above lowest polymorph: 0 meV/atom
* crystal system: monoclinic
* M_tot: 0.000 μB per formula unit
* space-group type: No. 12


No. 3
DFT (GGA-PBE) results for a relaxed Tb4Ho6Th crystal.

Lattice parameters (Å, degrees): 8.436 8.436 8.436 126.46 126.46 79.13
Atoms (fractional coordinates):
Tb1 0.253 0.253 0.656
Tb2 0.403 0.747 0.000
Tb3 0.597 0.597 0.344
Tb4 0.747 0.403 0.000
Ho1 0.000 0.500 0.500
Ho2 0.059 0.575 0.000
Ho3 0.425 0.425 0.484
Ho4 0.500 0.000 0.500
Ho5 0.575 0.059 0.000
Ho6 0.941 0.941 0.516
Th1 0.000 0.000 0.000

Results
* energy of formation: 469 meV per atom
* density of states at the Fermi level: 15.5 states/eV/f.u.
* E above lowest polymorph: 328 meV/atom
* crystal system: tetragonal
* M_tot: 0.000 μB per formula unit
* space-group type: No. 121


No. 4
DFT (GGA-PBE) results for a relaxed MgTiInHg crystal.

Lattice parameters (Å, degrees): 4.139 4.287 4.492 90.00 90.00 90.00
Atoms (fractional coordinates):
Mg1 0.000 0.000 0.000
Ti1 0.000 0.500 0.500
In1 0.500 0.000 0.500
Hg1 0.500 0.500 0.000

Results
* energy of formation: -114 meV per atom
* density of states at the Fermi level: 2.7 states/eV/f.u.
* E above lowest polymorph: 0 meV/atom
* crystal system: orthorhombic
* M_tot: 0.001 μB per formula unit
* space-group type: No. 47


No. 5
DFT (GGA-PBE) results for a relaxed CoRe2Tc crystal.

Lattice parameters (Å, degrees): 2.703 3.803 5.398 90.00 90.00 90.00
Atoms (fractional coordinates):
Co1 0.000 0.000 0.000
Re1 0.000 0.000 0.500
Re2 0.500 0.500 0.229
Tc1 0.500 0.500 0.760

Results
* energy of formation: 84 meV per atom
* density of states at the Fermi level: 5.0 states/eV/f.u.
* E above lowest polymorph: 58 meV/atom
* crystal system: orthorhombic
* M_tot: 0.043 μB per formula unit
* space-group type: No. 25


No. 6
DFT (GGA-PBE) results for a relaxed Li3GaAg7 crystal.

Lattice parameters (Å, degrees): 6.514 6.514 5.149 105.57 105.57 95.69
Atoms (fractional coordinates):
Li1 0.000 0.000 0.000
Li2 0.230 0.770 0.500
Li3 0.770 0.230 0.500
Ga1 0.500 0.500 0.000
Ag1 0.067 0.589 0.813
Ag2 0.182 0.182 0.567
Ag3 0.411 0.933 0.187
Ag4 0.500 0.500 0.500
Ag5 0.589 0.067 0.813
Ag6 0.818 0.818 0.433
Ag7 0.933 0.411 0.187

Results
* energy of formation: -5 meV per atom
* density of states at the Fermi level: 3.5 states/eV/f.u.
* crystal system: monoclinic
* M_tot: 0.000 μB per formula unit
* space-group type: No. 12


No. 7
DFT (GGA-PBE) results for a relaxed Ti2NbBiRu crystal.

Lattice parameters (Å, degrees): 4.665 4.665 5.284 90.00 90.00 90.00
Atoms (fractional coordinates):
Ti1 0.000 0.500 0.000
Ti2 0.500 0.000 0.000
Nb1 0.000 0.000 0.000
Bi1 0.000 0.000 0.500
Ru1 0.500 0.500 0.500

Results
* energy of formation: 1302 meV per atom
* density of states at the Fermi level: 6.6 states/eV/f.u.
* crystal system: tetragonal
* M_tot: 0.032 μB per formula unit
* space-group type: No. 123


No. 8
DFT (GGA-PBE) results for a relaxed ZrPtRh2Br crystal.

Lattice parameters (Å, degrees): 4.582 4.582 4.753 90.00 90.00 90.00
Atoms (fractional coordinates):
Zr1 0.000 0.000 0.000
Pt1 0.500 0.500 0.000
Rh1 0.000 0.500 0.500
Rh2 0.500 0.000 0.500
Br1 0.500 0.500 0.500

Results
* density of states at the Fermi level: 6.9 states/eV/f.u.
* crystal system: tetragonal
* M_tot: 0.000 μB per formula unit
* formation energy from raw total energies: 15.6 kcal/mol of atoms
* space-group type: No. 123


No. 9
DFT (GGA-PBE) results for a relaxed Ba2Li3CaSb4 crystal.

Lattice parameters (Å, degrees): 4.875 4.875 12.304 90.00 90.00 90.00
Atoms (fractional coordinates):
Ba1 0.000 0.500 0.230
Ba2 0.500 0.000 0.770
Li1 0.000 0.500 0.876
Li2 0.500 0.000 0.124
Li3 0.500 0.500 0.500
Ca1 0.000 0.000 0.500
Sb1 0.000 0.000 0.000
Sb2 0.000 0.500 0.652
Sb3 0.500 0.000 0.348
Sb4 0.500 0.500 0.000

Results
* density of states at the Fermi level: 0.9 states/eV/f.u.
* crystal system: tetragonal
* M_tot: 0.000 μB per formula unit
* formation energy from raw total energies: -20.0 kcal/mol of atoms
* space-group type: No. 115


No. 10
DFT (GGA-PBE) results for a relaxed SiSN crystal.

Lattice parameters (Å, degrees): 3.070 5.554 6.682 111.82 90.05 97.24
Atoms (fractional coordinates):
Si1 0.000 0.000 0.000
Si2 0.356 0.495 0.935
S1 0.224 0.390 0.215
S2 0.931 0.063 0.692
N1 0.461 0.835 0.014
N2 0.834 0.391 0.797

Results
* E above lowest polymorph: 73 meV/atom
* crystal system: triclinic
* M_tot: 0.000 μB per formula unit
* formation energy from raw total energies: -9.7 kcal/mol of atoms
* space-group type: No. 1


No. 11
DFT (GGA-PBE) results for a relaxed NdFeSi2Tc crystal.

Lattice parameters (Å, degrees): 5.897 5.897 5.897 139.59 139.59 58.47
Atoms (fractional coordinates):
Nd1 0.000 0.000 0.000
Fe1 0.250 0.750 0.500
Si1 0.373 0.373 0.000
Si2 0.627 0.627 0.000
Tc1 0.750 0.250 0.500

Results
* density of states at the Fermi level: 4.5 states/eV/f.u.
* crystal system: tetragonal
* M_tot: 1.763 μB per formula unit
* formation energy from raw total energies: -13.8 kcal/mol of atoms
* space-group type: No. 119


No. 12
DFT (GGA-PBE) results for a relaxed Hf3MgMn crystal.

Lattice parameters (Å, degrees): 4.833 4.833 4.833 90.00 90.00 90.00
Atoms (fractional coordinates):
Hf1 0.000 0.000 0.500
Hf2 0.000 0.500 0.000
Hf3 0.500 0.000 0.000
Mg1 0.500 0.500 0.500
Mn1 0.000 0.000 0.000

Results
* energy of formation: 370 meV per atom
* density of states at the Fermi level: 9.3 states/eV/f.u.
* E above lowest polymorph: 0 meV/atom
* crystal system: cubic
* M_tot: 0.000 μB per formula unit
* space-group type: No. 221


No. 13
DFT (GGA-PBE) results for a relaxed LiRe4Pb crystal.

Lattice parameters (Å, degrees): 5.288 5.288 5.288 60.00 60.00 60.00
Atoms (fractional coordinates):
Li1 0.000 0.000 0.000
Re1 0.374 0.374 0.374
Re2 0.374 0.374 0.877
Re3 0.374 0.877 0.374
Re4 0.877 0.374 0.374
Pb1 0.750 0.750 0.750

Results
* energy of formation: 650 meV per atom
* density of states at the Fermi level: 3.6 states/eV/f.u.
* crystal system: cubic
* M_tot: 0.000 μB per formula unit
* space-group type: No. 216


No. 14
DFT (GGA-PBE) results for a relaxed Ce2YThS4 crystal.

Lattice parameters (Å, degrees): 6.905 4.001 6.959 90.00 109.40 90.00
Atoms (fractional coordinates):
Ce1 0.000 0.000 0.000
Ce2 0.000 0.500 0.500
Y1 0.500 0.000 0.500
Th1 0.500 0.500 0.000
S1 0.252 0.000 0.744
S2 0.256 0.500 0.258
S3 0.744 0.500 0.742
S4 0.748 0.000 0.256

Results
* density of states at the Fermi level: 11.0 states/eV/f.u.
* crystal system: monoclinic
* M_tot: 1.186 μB per formula unit
* formation energy from raw total energies: -45.8 kcal/mol of atoms
* space-group type: No. 10


No. 15
DFT (GGA-PBE) results for a relaxed LiTePI2 crystal.

Lattice parameters (Å, degrees): 6.180 6.180 5.415 90.00 90.00 90.00
Atoms (fractional coordinates):
Li1 0.000 0.000 0.000
Te1 0.000 0.000 0.500
P1 0.500 0.500 0.000
I1 0.000 0.500 0.500
I2 0.500 0.000 0.500

Results
* density of states at the Fermi level: 1.5 states/eV/f.u.
* E above lowest polymorph: 377 meV/atom
* crystal system: tetragonal
* M_tot: 2.914 μB per formula unit
* formation energy from raw total energies: 8.9 kcal/mol of atoms
* space-group type: No. 123


No. 16
DFT (GGA-PBE) results for a relaxed LaCu2P crystal.

Lattice parameters (Å, degrees): 4.095 4.095 5.617 111.41 111.41 60.06
Atoms (fractional coordinates):
La1 0.000 0.000 0.000
Cu1 0.207 0.207 0.621
Cu2 0.490 0.490 0.471
P1 0.793 0.793 0.379

Results
* energy of formation: -533 meV per atom
* density of states at the Fermi level: 0.8 states/eV/f.u.
* crystal system: monoclinic
* M_tot: 0.000 μB per formula unit
* space-group type: No. 8


No. 17
DFT (GGA-PBE) results for a relaxed Y4Hg2N crystal.

Lattice parameters (Å, degrees): 8.186 8.186 8.186 145.81 145.81 49.13
Atoms (fractional coordinates):
Y1 0.000 0.500 0.500
Y2 0.169 0.169 0.000
Y3 0.500 0.000 0.500
Y4 0.831 0.831 0.000
Hg1 0.368 0.368 0.000
Hg2 0.632 0.632 0.000
N1 0.000 0.000 0.000

Results
* density of states at the Fermi level: 6.3 states/eV/f.u.
* crystal system: tetragonal
* M_tot: 0.000 μB per formula unit
* formation energy from raw total energies: -17.2 kcal/mol of atoms
* space-group type: No. 139


No. 18
DFT (GGA-PBE) results for a relaxed Re2HgAs2 crystal.

Lattice parameters (Å, degrees): 6.316 6.316 6.316 142.88 142.88 53.51
Atoms (fractional coordinates):
Re1 0.116 0.116 0.000
Re2 0.884 0.884 0.000
Hg1 0.500 0.500 0.000
As1 0.250 0.750 0.500
As2 0.750 0.250 0.500

Results
* energy of formation: 495 meV per atom
* density of states at the Fermi level: 3.8 states/eV/f.u.
* E above lowest polymorph: 34 meV/atom
* crystal system: tetragonal
* M_tot: 0.000 μB per formula unit
* space-group type: No. 139


No. 19
DFT (GGA-PBE) results for a relaxed CrFe2Pd8 crystal.

Lattice parameters (Å, degrees): 7.233 7.233 6.169 105.50 105.50 31.70
Atoms (fractional coordinates):
Cr1 0.000 0.000 0.000
Fe1 0.276 0.276 0.353
Fe2 0.724 0.724 0.647
Pd1 0.099 0.099 0.459
Pd2 0.180 0.180 0.918
Pd3 0.356 0.356 0.802
Pd4 0.456 0.456 0.268
Pd5 0.544 0.544 0.732
Pd6 0.644 0.644 0.198
Pd7 0.820 0.820 0.082
Pd8 0.901 0.901 0.541

Results
* energy of formation: -66 meV per atom
* density of states at the Fermi level: 12.2 states/eV/f.u.
* crystal system: monoclinic
* M_tot: 11.498 μB per formula unit
* space-group type: No. 12


No. 20
DFT (GGA-PBE) results for a relaxed Pr8Ni3PtBr4 crystal.

Lattice parameters (Å, degrees): 8.318 8.318 9.153 117.08 117.08 59.95
Atoms (fractional coordinates):
Pr1 0.224 0.736 0.695
Pr2 0.231 0.231 0.693
Pr3 0.264 0.264 0.305
Pr4 0.264 0.776 0.305
Pr5 0.736 0.224 0.695
Pr6 0.736 0.736 0.695
Pr7 0.769 0.769 0.307
Pr8 0.776 0.264 0.305
Ni1 0.000 0.000 0.500
Ni2 0.000 0.500 0.500
Ni3 0.500 0.000 0.500
Pt1 0.500 0.500 0.500
Br1 0.000 0.000 0.000
Br2 0.000 0.500 0.000
Br3 0.500 0.000 0.000
Br4 0.500 0.500 0.000

Results
* density of states at the Fermi level: 12.0 states/eV/f.u.
* crystal system: monoclinic
* M_tot: 0.000 μB per formula unit
* formation energy from raw total energies: -20.8 kcal/mol of atoms
* space-group type: No. 12


No. 21
DFT (GGA-PBE) results for a relaxed Rb3Zn3Au2 crystal.

Lattice parameters (Å, degrees): 9.118 16.197 6.724 90.00 90.00 90.00
Atoms (fractional coordinates):
Rb1 0.038 0.108 0.119
Rb2 0.038 0.392 0.119
Rb3 0.199 0.250 0.573
Rb4 0.301 0.750 0.073
Rb5 0.462 0.608 0.619
Rb6 0.462 0.892 0.619
Rb7 0.538 0.108 0.381
Rb8 0.538 0.392 0.381
Rb9 0.699 0.250 0.927
Rb10 0.801 0.750 0.427
Rb11 0.962 0.608 0.881
Rb12 0.962 0.892 0.881
Zn1 0.159 0.750 0.523
Zn2 0.162 0.038 0.620
Zn3 0.162 0.462 0.620
Zn4 0.338 0.538 0.120
Zn5 0.338 0.962 0.120
Zn6 0.341 0.250 0.023
Zn7 0.659 0.750 0.977
Zn8 0.662 0.038 0.880
Zn9 0.662 0.462 0.880
Zn10 0.838 0.538 0.380
Zn11 0.838 0.962 0.380
Zn12 0.841 0.250 0.477
Au1 0.124 0.594 0.376
Au2 0.124 0.906 0.376
Au3 0.376 0.094 0.876
Au4 0.376 0.406 0.876
Au5 0.624 0.594 0.124
Au6 0.624 0.906 0.124
Au7 0.876 0.094 0.624
Au8 0.876 0.406 0.624

Results
* energy of formation: -111 meV per atom
* density of states at the Fermi level: 3.6 states/eV/f.u.
* E above lowest polymorph: 30 meV/atom
* crystal system: orthorhombic
* M_tot: 0.000 μB per formula unit
* space-group type: No. 62


No. 22
DFT (GGA-PBE) results for a relaxed Nd2Er2Tl crystal.

Lattice parameters (Å, degrees): 6.392 6.392 8.589 107.36 107.36 95.48
Atoms (fractional coordinates):
Nd1 0.163 0.163 0.426
Nd2 0.278 0.278 0.886
Nd3 0.722 0.722 0.114
Nd4 0.837 0.837 0.574
Er1 0.246 0.613 0.283
Er2 0.387 0.754 0.717
Er3 0.613 0.246 0.283
Er4 0.754 0.387 0.717
Tl1 0.170 0.830 0.000
Tl2 0.830 0.170 0.000

Results
* energy of formation: -71 meV per atom
* density of states at the Fermi level: 4.8 states/eV/f.u.
* E above lowest polymorph: 0 meV/atom
* crystal system: monoclinic
* M_tot: 0.000 μB per formula unit
* space-group type: No. 12


No. 23
DFT (GGA-PBE) results for a relaxed Ac3Y2TmTe6 crystal.

Lattice parameters (Å, degrees): 10.337 10.337 9.396 107.62 107.62 24.52
Atoms (fractional coordinates):
Ac1 0.000 0.000 0.000
Ac2 0.332 0.332 0.666
Ac3 0.668 0.668 0.334
Y1 0.332 0.332 0.165
Y2 0.668 0.668 0.835
Tm1 0.000 0.000 0.500
Te1 0.159 0.159 0.597
Te2 0.172 0.172 0.068
Te3 0.495 0.495 0.269
Te4 0.505 0.505 0.731
Te5 0.828 0.828 0.932
Te6 0.841 0.841 0.403

Results
* density of states at the Fermi level: 5.1 states/eV/f.u.
* crystal system: monoclinic
* M_tot: 0.000 μB per formula unit
* formation energy from raw total energies: -31.8 kcal/mol of atoms
* space-group type: No. 12


No. 24
DFT (GGA-PBE) results for a relaxed MnV2ZnTe crystal.

Lattice parameters (Å, degrees): 4.360 4.360 4.669 90.00 90.00 90.00
Atoms (fractional coordinates):
Mn1 0.000 0.000 0.000
V1 0.000 0.500 0.000
V2 0.500 0.000 0.000
Zn1 0.000 0.000 0.500
Te1 0.500 0.500 0.500

Results
* density of states at the Fermi level: 7.3 states/eV/f.u.
* crystal system: tetragonal
* M_tot: 0.002 μB per formula unit
* formation energy from raw total energies: 15.4 kcal/mol of atoms
* space-group type: No. 123